[1]
First-principles (PBE) data for crystalline TaTi2SnP at its relaxed geometry, as listed in Alexandria via LeMat-Bulk.

Computed properties:
The electronic total energy comes out at -6.739 eV/atom. The calculated volume comes out at 22.802 Å³/atom.

Unit cell a=4.9499 b=4.9499 c=4.6531 alpha=90.00 beta=90.00 gamma=90.00
With the nearest neighbours (Å) after each atom.
Space group P4/mmm (No. 123)
Symmetry-distinct sites (fractional):
Ta1 0.0000 0.0000 0.0000 (multiplicity 1)  2 P 2.33, 4 Ti 2.47
Ti1 0.0000 0.5000 0.0000 (multiplicity 2)  2 Ta 2.47
Sn1 0.5000 0.5000 0.5000 (multiplicity 1)  8 Ti 3.40, 4 P 3.50
P1 0.0000 0.0000 0.5000 (multiplicity 1)  2 Ta 2.33

[2]
First-principles (PBE) data for crystalline Tb6SnTe3P2 at its relaxed geometry, as listed in Alexandria via LeMat-Bulk.

Computed properties:
The electronic total energy comes out at -5.715 eV/atom. For the formation energy from raw total energies, the calculation gives -1.380 eV/atom. The calculated volume comes out at 27.603 Å³/atom.

Unit cell a=18.7458 b=4.2148 c=8.6663 alpha=90.00 beta=104.65 gamma=90.00
With the nearest neighbours (Å) after each atom.
Space group C2/m (No. 12)
Symmetry-distinct sites (fractional):
Tb1 0.0121 0.0000 0.2511 (multiplicity 4)  1 P 2.85, 2 Sn 3.00, 2 Te 3.06
Tb2 0.1672 0.5000 0.1143 (multiplicity 4)  2 P 2.86, 1 Sn 3.04, 1 Te 3.08
Tb3 0.1764 0.5000 0.5640 (multiplicity 4)  3 P 2.81-2.86
Sn1 0.0000 0.5000 0.0000 (multiplicity 2)  6 Tb 3.00-3.04
Te1 0.0000 0.5000 0.5000 (multiplicity 2)  6 Tb 3.06-3.21
Te2 0.1637 0.0000 0.8322 (multiplicity 4)  6 Tb 3.08-3.22
P1 0.1691 0.0000 0.3382 (multiplicity 4)  6 Tb 2.81-2.86

[3]
First-principles (PBE) data for crystalline Tc2SnP at its relaxed geometry, as listed in Alexandria via LeMat-Bulk.

Computed properties:
The value obtained for the energy above the most stable polymorph in this dataset is 191 meV/atom. The electronic total energy comes out at -7.422 eV/atom. The calculated volume comes out at 15.223 Å³/atom.

Unit cell a=6.2452 b=6.2452 c=6.2452 alpha=90.00 beta=90.00 gamma=90.00
With the nearest neighbours (Å) after each atom.
Space group Fm-3m (No. 225)
Symmetry-distinct sites (fractional):
Tc1 0.2500 0.2500 0.2500 (multiplicity 8)  4 Sn 2.70, 4 P 2.70
Sn1 0.0000 0.0000 0.0000 (multiplicity 4)  8 Tc 2.70
P1 0.0000 0.0000 0.5000 (multiplicity 4)  8 Tc 2.70

[4]
First-principles (PBE) data for crystalline Tc3SnP at its relaxed geometry, as listed in Alexandria via LeMat-Bulk.

Computed properties:
The value obtained for the energy above the most stable polymorph in this dataset is 2075 meV/atom. The electronic total energy comes out at -5.739 eV/atom. The calculated volume comes out at 23.461 Å³/atom.

Unit cell a=4.8952 b=4.8952 c=4.8952 alpha=90.00 beta=90.00 gamma=90.00
With the nearest neighbours (Å) after each atom.
Space group Pm-3m (No. 221)
Symmetry-distinct sites (fractional):
Tc1 0.0000 0.0000 0.5000 (multiplicity 3)  2 Sn 2.45
Sn1 0.0000 0.0000 0.0000 (multiplicity 1)  6 Tc 2.45
P1 0.5000 0.5000 0.5000 (multiplicity 1)  12 Tc 3.46

[5]
First-principles (PBE) data for crystalline Tc2SnP at its relaxed geometry, as listed in Alexandria via LeMat-Bulk.

Computed properties:
The value obtained for the energy above the most stable polymorph in this dataset is 0 meV/atom. The electronic total energy comes out at -7.613 eV/atom. The calculated volume comes out at 16.755 Å³/atom.

Unit cell a=7.0809 b=3.1122 c=6.6518 alpha=90.00 beta=113.88 gamma=90.00
With the nearest neighbours (Å) after each atom.
Space group Cm (No. 8)
Symmetry-distinct sites (fractional):
Tc1 0.0000 0.0000 0.0000 (multiplicity 2)  3 P 2.37-2.38
Tc2 0.2336 0.5000 0.3626 (multiplicity 2)  3 P 2.39
Sn1 0.0677 0.5000 0.6813 (multiplicity 2)  6 Tc 2.81-2.93, 1 P 3.06, 2 Sn 3.11
P1 0.3651 0.0000 0.1784 (multiplicity 2)  6 Tc 2.37-2.39

[6]
First-principles (PBE) data for crystalline TcSnP2 at its relaxed geometry, as listed in Alexandria via LeMat-Bulk.

Computed properties:
The electronic total energy comes out at -6.260 eV/atom. The calculated volume comes out at 22.717 Å³/atom.

Unit cell a=5.7180 b=5.7180 c=11.1169 alpha=90.00 beta=90.00 gamma=90.00
With the nearest neighbours (Å) after each atom.
Space group I-42d (No. 122)
Symmetry-distinct sites (fractional):
Tc1 0.0000 0.0000 0.0000 (multiplicity 4)  4 P 2.28
Sn1 0.0000 0.0000 0.5000 (multiplicity 4)  4 P 2.65
P1 0.1946 0.2500 0.1250 (multiplicity 8)  2 Tc 2.28

no.,magnetization (μB per formula unit)
1,0.00
2,0.00
3,0.00
4,5.34
5,0.00
6,0.00